1.
# Co2SiAg (PBE, relaxed)
# DOS at the Fermi energy   3.59 states/eV/cell
# ΔE_f (raw)   0.6 eV per formula unit
# Total energy   -21.88 eV/cell
data_Co2SiAg
_cell_length_a 4.9817
_cell_length_b 4.9817
_cell_length_c 4.9817
_cell_angle_alpha 146.86
_cell_angle_beta 129.89
_cell_angle_gamma 61.41
_symmetry_space_group_name_H-M 'P 1'
_symmetry_Int_Tables_number 1
loop_
_symmetry_equiv_pos_as_xyz
'x,y,z'
loop_
_atom_site_label
_atom_site_fract_x
_atom_site_fract_y
_atom_site_fract_z
Co1 0.0000 0.0000 0.0000
Co2 0.7457 0.2457 0.5000
Si1 0.2115 0.7115 0.5000
Ag1 0.4654 0.4654 0.0000


2.
# MgIr2S2 (PBE, relaxed)
# DOS at the Fermi energy   9.21 states/eV/cell
# ΔE_f (raw)   0.8 eV per formula unit
# Total energy   -53.58 eV/cell
# Distance to the lowest polymorph of the same formula   20.1 kJ per mole of atoms
data_MgIr2S2
_cell_length_a 7.2876
_cell_length_b 7.2876
_cell_length_c 3.4476
_cell_angle_alpha 90.00
_cell_angle_beta 90.00
_cell_angle_gamma 90.00
_symmetry_space_group_name_H-M 'P 1'
_symmetry_Int_Tables_number 1
loop_
_symmetry_equiv_pos_as_xyz
'x,y,z'
loop_
_atom_site_label
_atom_site_fract_x
_atom_site_fract_y
_atom_site_fract_z
Mg1 0.0000 0.0000 0.0000
Mg2 0.5000 0.5000 0.0000
Ir1 0.1234 0.3766 0.0000
Ir2 0.3766 0.8766 0.0000
Ir3 0.6234 0.1234 0.0000
Ir4 0.8766 0.6234 0.0000
S1 0.2401 0.7401 0.5000
S2 0.2599 0.2401 0.5000
S3 0.7401 0.7599 0.5000
S4 0.7599 0.2599 0.5000


3.
# ThGeSe2 (PBE, relaxed)
# DOS at the Fermi energy   2.20 states/eV/cell
# ΔE_f (raw)   -1.4 eV per formula unit
# Total energy   -20.39 eV/cell
data_ThGeSe2
_cell_length_a 8.9651
_cell_length_b 8.9651
_cell_length_c 8.9651
_cell_angle_alpha 25.61
_cell_angle_beta 25.61
_cell_angle_gamma 25.61
_symmetry_space_group_name_H-M 'P 1'
_symmetry_Int_Tables_number 1
loop_
_symmetry_equiv_pos_as_xyz
'x,y,z'
loop_
_atom_site_label
_atom_site_fract_x
_atom_site_fract_y
_atom_site_fract_z
Th1 0.0000 0.0000 0.0000
Ge1 0.5000 0.5000 0.5000
Se1 0.1069 0.1069 0.1069
Se2 0.8931 0.8931 0.8931


4.
# Sm2MnTcN5 (PBE, relaxed)
# DOS at the Fermi energy   4.37 states/eV/cell
# ΔE_f (raw)   -6.1 eV per formula unit
# Total energy   -153.43 eV/cell
data_Sm2MnTcN5
_cell_length_a 7.2897
_cell_length_b 7.2897
_cell_length_c 9.5177
_cell_angle_alpha 90.00
_cell_angle_beta 90.00
_cell_angle_gamma 153.99
_symmetry_space_group_name_H-M 'P 1'
_symmetry_Int_Tables_number 1
loop_
_symmetry_equiv_pos_as_xyz
'x,y,z'
loop_
_atom_site_label
_atom_site_fract_x
_atom_site_fract_y
_atom_site_fract_z
Sm1 0.1173 0.8827 0.5000
Sm2 0.1342 0.8658 0.8760
Sm3 0.8658 0.1342 0.3760
Sm4 0.8827 0.1173 0.0000
Mn1 0.2172 0.7828 0.1904
Mn2 0.7828 0.2172 0.6904
Tc1 0.4306 0.5694 0.6714
Tc2 0.5694 0.4306 0.1714
N1 0.0231 0.9769 0.2474
N2 0.3029 0.6971 0.5624
N3 0.3110 0.6890 0.8245
N4 0.3466 0.6534 0.1881
N5 0.4814 0.5186 0.4900
N6 0.5186 0.4814 0.9900
N7 0.6534 0.3466 0.6881
N8 0.6890 0.3110 0.3245
N9 0.6971 0.3029 0.0624
N10 0.9769 0.0231 0.7474


5.
# Tl4Cd3O8 (PBE, relaxed)
# DOS at the Fermi energy   2.84 states/eV/cell
# ΔE_f (raw)   -10.7 eV per formula unit
# Total energy   -62.58 eV/cell
data_Tl4Cd3O8
_cell_length_a 6.8542
_cell_length_b 6.8542
_cell_length_c 6.8846
_cell_angle_alpha 119.07
_cell_angle_beta 119.07
_cell_angle_gamma 91.11
_symmetry_space_group_name_H-M 'P 1'
_symmetry_Int_Tables_number 1
loop_
_symmetry_equiv_pos_as_xyz
'x,y,z'
loop_
_atom_site_label
_atom_site_fract_x
_atom_site_fract_y
_atom_site_fract_z
Tl1 0.0000 0.0000 0.0000
Tl2 0.0000 0.5000 0.0000
Tl3 0.5000 0.0000 0.0000
Tl4 0.5000 0.5000 0.5000
Cd1 0.0000 0.0000 0.5000
Cd2 0.0000 0.5000 0.5000
Cd3 0.5000 0.0000 0.5000
O1 0.2336 0.2336 0.4655
O2 0.2355 0.2355 0.9947
O3 0.2357 0.7643 0.0000
O4 0.2462 0.7538 0.5000
O5 0.7538 0.2462 0.5000
O6 0.7643 0.2357 0.0000
O7 0.7645 0.7645 0.0053
O8 0.7664 0.7664 0.5345


6.
# Cs2AcAlTe4 (PBE, relaxed)
# DOS at the Fermi energy   2.36 states/eV/cell
# ΔE_f (raw)   -7.3 eV per formula unit
# Total energy   -58.80 eV/cell
data_Cs2AcAlTe4
_cell_length_a 9.7737
_cell_length_b 9.7737
_cell_length_c 9.2979
_cell_angle_alpha 118.29
_cell_angle_beta 118.29
_cell_angle_gamma 90.46
_symmetry_space_group_name_H-M 'P 1'
_symmetry_Int_Tables_number 1
loop_
_symmetry_equiv_pos_as_xyz
'x,y,z'
loop_
_atom_site_label
_atom_site_fract_x
_atom_site_fract_y
_atom_site_fract_z
Cs1 0.0000 0.0000 0.0000
Cs2 0.0000 0.0000 0.5000
Cs3 0.0000 0.5000 0.0000
Cs4 0.5000 0.0000 0.5000
Ac1 0.0000 0.5000 0.5000
Ac2 0.5000 0.0000 0.0000
Al1 0.5000 0.5000 0.0000
Al2 0.5000 0.5000 0.5000
Te1 0.2819 0.7171 0.9772
Te2 0.2829 0.7181 0.5228
Te3 0.3039 0.3223 0.5593
Te4 0.3223 0.3039 0.0593
Te5 0.6777 0.6961 0.9407
Te6 0.6961 0.6777 0.4407
Te7 0.7171 0.2819 0.4772
Te8 0.7181 0.2829 0.0228


7.
# ZrInTe2N (PBE, relaxed)
# DOS at the Fermi energy   4.31 states/eV/cell
# ΔE_f (raw)   -0.6 eV per formula unit
# Total energy   -26.47 eV/cell
# Distance to the lowest polymorph of the same formula   0.0 kJ per mole of atoms
data_ZrInTe2N
_cell_length_a 5.8915
_cell_length_b 5.8915
_cell_length_c 4.0320
_cell_angle_alpha 90.00
_cell_angle_beta 90.00
_cell_angle_gamma 90.00
_symmetry_space_group_name_H-M 'P 1'
_symmetry_Int_Tables_number 1
loop_
_symmetry_equiv_pos_as_xyz
'x,y,z'
loop_
_atom_site_label
_atom_site_fract_x
_atom_site_fract_y
_atom_site_fract_z
Zr1 0.0000 0.0000 0.0000
In1 0.5000 0.5000 0.5000
Te1 0.0000 0.5000 0.0000
Te2 0.5000 0.0000 0.0000
N1 0.0000 0.0000 0.5000


8.
# Tl2SbF5 (PBE, relaxed)
# DOS at the Fermi energy   0.00 states/eV/cell
# ΔE_f (raw)   -17.0 eV per formula unit
# Total energy   -70.50 eV/cell
# Distance to the lowest polymorph of the same formula   0.0 kJ per mole of atoms
data_Tl2SbF5
_cell_length_a 8.0937
_cell_length_b 8.0937
_cell_length_c 6.7622
_cell_angle_alpha 90.00
_cell_angle_beta 90.00
_cell_angle_gamma 132.00
_symmetry_space_group_name_H-M 'P 1'
_symmetry_Int_Tables_number 1
loop_
_symmetry_equiv_pos_as_xyz
'x,y,z'
loop_
_atom_site_label
_atom_site_fract_x
_atom_site_fract_y
_atom_site_fract_z
Tl1 0.0742 0.9258 0.7500
Tl2 0.2510 0.7490 0.2500
Tl3 0.7490 0.2510 0.7500
Tl4 0.9258 0.0742 0.2500
Sb1 0.4017 0.5983 0.7500
Sb2 0.5983 0.4017 0.2500
F1 0.1507 0.3967 0.5328
F2 0.1507 0.3967 0.9672
F3 0.2666 0.7334 0.7500
F4 0.3967 0.1507 0.0328
F5 0.3967 0.1507 0.4672
F6 0.6033 0.8493 0.5328
F7 0.6033 0.8493 0.9672
F8 0.7334 0.2666 0.2500
F9 0.8493 0.6033 0.0328
F10 0.8493 0.6033 0.4672


9.
# PrPuNiGe (PBE, relaxed)
# DOS at the Fermi energy   10.75 states/eV/cell
# Total energy   -30.50 eV/cell
# Energy of formation   -247.4 meV/atom
data_PrPuNiGe
_cell_length_a 5.0463
_cell_length_b 5.0463
_cell_length_c 5.0463
_cell_angle_alpha 60.00
_cell_angle_beta 60.00
_cell_angle_gamma 60.00
_symmetry_space_group_name_H-M 'P 1'
_symmetry_Int_Tables_number 1
loop_
_symmetry_equiv_pos_as_xyz
'x,y,z'
loop_
_atom_site_label
_atom_site_fract_x
_atom_site_fract_y
_atom_site_fract_z
Pr1 0.0000 0.0000 0.0000
Pu1 0.5000 0.5000 0.5000
Ni1 0.7500 0.7500 0.7500
Ge1 0.2500 0.2500 0.2500


10.
# ZnSiMo2 (PBE, relaxed)
# DOS at the Fermi energy   2.86 states/eV/cell
# ΔE_f (raw)   0.2 eV per formula unit
# Total energy   -28.18 eV/cell
# Distance to the lowest polymorph of the same formula   7.6 kJ per mole of atoms
data_ZnSiMo2
_cell_length_a 2.9443
_cell_length_b 3.0893
_cell_length_c 6.4802
_cell_angle_alpha 90.00
_cell_angle_beta 90.00
_cell_angle_gamma 90.00
_symmetry_space_group_name_H-M 'P 1'
_symmetry_Int_Tables_number 1
loop_
_symmetry_equiv_pos_as_xyz
'x,y,z'
loop_
_atom_site_label
_atom_site_fract_x
_atom_site_fract_y
_atom_site_fract_z
Zn1 0.0000 0.0000 0.0000
Si1 0.0000 0.0000 0.5000
Mo1 0.5000 0.5000 0.2784
Mo2 0.5000 0.5000 0.7216


11.
# CeGeRhO (PBE, relaxed)
# DOS at the Fermi energy   9.65 states/eV/cell
# ΔE_f (raw)   -7.6 eV per formula unit
# Total energy   -60.85 eV/cell
data_CeGeRhO
_cell_length_a 4.0929
_cell_length_b 4.0929
_cell_length_c 8.2547
_cell_angle_alpha 90.00
_cell_angle_beta 90.00
_cell_angle_gamma 90.00
_symmetry_space_group_name_H-M 'P 1'
_symmetry_Int_Tables_number 1
loop_
_symmetry_equiv_pos_as_xyz
'x,y,z'
loop_
_atom_site_label
_atom_site_fract_x
_atom_site_fract_y
_atom_site_fract_z
Ce1 0.2500 0.2500 0.1412
Ce2 0.7500 0.7500 0.8588
Ge1 0.2500 0.2500 0.6632
Ge2 0.7500 0.7500 0.3368
Rh1 0.2500 0.7500 0.5000
Rh2 0.7500 0.2500 0.5000
O1 0.2500 0.7500 0.0000
O2 0.7500 0.2500 0.0000


12.
# PmDyCdHg (PBE, relaxed)
# DOS at the Fermi energy   4.08 states/eV/cell
# Total energy   -12.13 eV/cell
# Energy of formation   -390.7 meV/atom
data_PmDyCdHg
_cell_length_a 5.3403
_cell_length_b 5.3403
_cell_length_c 5.3403
_cell_angle_alpha 60.00
_cell_angle_beta 60.00
_cell_angle_gamma 60.00
_symmetry_space_group_name_H-M 'P 1'
_symmetry_Int_Tables_number 1
loop_
_symmetry_equiv_pos_as_xyz
'x,y,z'
loop_
_atom_site_label
_atom_site_fract_x
_atom_site_fract_y
_atom_site_fract_z
Pm1 0.0000 0.0000 0.0000
Dy1 0.5000 0.5000 0.5000
Cd1 0.2500 0.2500 0.2500
Hg1 0.7500 0.7500 0.7500


Among the records above, which one has the highest total energy? PmDyCdHg


Among the records above, which one has the highest total energy? PmDyCdHg


Which value of DOS at the Fermi energy does entry 1 give? 3.59 states/eV/cell